A relaxed CaNd2MoN4 crystal. Source: Alexandria via LeMat-Bulk, functional GGA-PBE.

a b c (Å): 3.547 12.136 12.409
angles (deg): 90.00 90.00 90.00
Space group Cmcm (No. 63)
Unique sites:
Ca 0.000 0.103 0.250 (multiplicity 4)
Nd 0.000 0.369 0.037 (multiplicity 8)
Mo 0.000 0.165 0.750 (multiplicity 4)
N 0.000 0.000 0.000 (multiplicity 4)
N 0.000 0.263 0.630 (multiplicity 8)
N 0.000 0.418 0.250 (multiplicity 4)

Computed properties:
V   534 Å³/cell
DOS(E_F)   20.2 states/eV per cell
Energy relative to the elements, uncorrected   -7.07 eV per formula unit
Total DFT energy (no corrections)   -7.84 eV per atom